DFT (PBE-GGA) results for a relaxed structure of Li3Ti3NbS8.

The structure belongs to space group R-3m (No. 166, hexagonal axes); the cell edges are 6.8639, 6.8639 and 18.7654 Å and the angles 90.00°, 90.00° and 120.00°. The asymmetric unit holds Li at (0.0000, 0.5000, 0.0000), Ti at (0.0000, 0.5000, 0.5000), Nb at (0.0000, 0.0000, 0.5000), S at (0.0000, 0.0000, 0.2454) and S at (0.0062, 0.5031, 0.7540).

The total energy comes out at -6.16 eV per atom. As for the uncorrected formation energy: -19.90 eV per formula unit. For the volume, the calculation gives 17.0 A^3/atom.